# 1
TiReHRh2, relaxed, DFT PBE-GGA; final energy = -39.8 eV/cell; excess energy over the best structure of this formula in the dataset = 29.5 meV/atom
1.0
-1.4278 2.0183 -3.0119
-2.0705 -3.1111 -1.1033
-3.0543 1.2276 2.2705
Re Rh H Ti
1 2 1 1
direct
0.0000 0.0000 0.5000 Re
0.0000 0.5000 0.0000 Rh
0.5000 0.0000 0.0000 Rh
0.0000 0.0000 0.0000 H
0.5000 0.5000 0.5000 Ti

# 2
TiReHRh2, relaxed, DFT PBE-GGA; final energy = -40.0 eV/cell; excess energy over the best structure of this formula in the dataset = 0.0 meV/atom
1.0
3.8674 0.0000 0.0000
0.0000 3.8674 0.0000
0.0000 0.0000 4.0245
Re Rh H Ti
1 2 1 1
direct
0.5000 0.5000 0.5000 Re
0.0000 0.5000 0.0000 Rh
0.5000 0.0000 0.0000 Rh
0.0000 0.0000 0.0000 H
0.0000 0.0000 0.5000 Ti

# 3
VReHRh2, relaxed, DFT PBE-GGA; final energy = -40.3 eV/cell; excess energy over the best structure of this formula in the dataset = 25.0 meV/atom
1.0
3.8318 0.0000 0.0000
0.0000 3.8318 0.0000
0.0000 0.0000 3.9956
Re Rh H V
1 2 1 1
direct
0.0000 0.0000 0.5000 Re
0.0000 0.5000 0.0000 Rh
0.5000 0.0000 0.0000 Rh
0.0000 0.0000 0.0000 H
0.5000 0.5000 0.5000 V

# 4
V2ReHRh, relaxed, DFT PBE-GGA; final energy = -42.1 eV/cell; excess energy over the best structure of this formula in the dataset = 0.0 meV/atom
1.0
-2.7887 2.6793 1.2245
-2.3435 -3.0394 1.3133
1.5561 0.1704 3.1711
Re Rh H V
1 1 1 2
direct
0.5000 0.5000 0.5000 Re
0.0000 0.0000 0.5000 Rh
0.0000 0.0000 0.0000 H
0.0000 0.5000 0.0000 V
0.5000 0.0000 0.0000 V

- Look up the excess energy over the best structure of this formula in the dataset of the third one.
  25.0 meV/atom